Entry 1:
Compound: YMn2Pt
Source: Alexandria
Functional: PBE
Structure: optimized geometry

The calculation puts the density of states at the Fermi level at 3.0 states/eV/cell. As for the energy above the most stable polymorph in this dataset: 0.249 eV/atom. As for the formation energy: -66 meV/atom. Its total magnetization is 7.5 Bohr magnetons per cell. As for the calculated total energy: -31.11 eV/cell.

Lattice parameters (Å, degrees): 3.0833 4.4947 5.4936 90.00 103.43 90.00
With the nearest neighbours (Å) after each atom.
Space group P2/m (No. 10)
Inequivalent atoms, fractional coordinates:
Y (0.0000, 0.0000, 0.0000) (multiplicity 1)  2 Pt 2.82, 4 Mn 3.03, 2 Y 3.08
Mn (0.3328, 0.5000, 0.7218) (multiplicity 2)  2 Pt 2.66, 2 Mn 2.80-2.86
Pt (0.5000, 0.0000, 0.5000) (multiplicity 1)  4 Mn 2.66, 2 Y 2.82



Entry 2:
Compound: YMn2Pt
Source: Alexandria
Functional: PBE
Structure: optimized geometry

The calculation puts the density of states at the Fermi level at 13.5 states/eV/cell. As for the energy above the most stable polymorph in this dataset: 0.613 eV/atom. As for the formation energy: 298 meV/atom. Its total magnetization is 24.3 Bohr magnetons per cell. As for the calculated total energy: -88.95 eV/cell.

Lattice parameters (Å, degrees): 3.1166 3.1166 27.4224 90.00 90.00 120.00
With the nearest neighbours (Å) after each atom.
Space group R-3m (No. 166, hexagonal axes)
Inequivalent atoms, fractional coordinates:
Y (0.0000, 0.0000, 0.0000) (multiplicity 3)  6 Y 3.12, 6 Mn 3.14
Mn (0.0000, 0.0000, 0.2395) (multiplicity 6)  3 Pt 2.69
Pt (0.0000, 0.0000, 0.5000) (multiplicity 3)  6 Mn 2.69



Entry 3:
Compound: YMn2Pt
Source: Alexandria
Functional: PBE
Structure: optimized geometry

The calculation puts the density of states at the Fermi level at 18.0 states/eV/cell. As for the energy above the most stable polymorph in this dataset: 0.455 eV/atom. As for the formation energy: 140 meV/atom. Its total magnetization is 14.6 Bohr magnetons per cell. As for the calculated total energy: -121.13 eV/cell.

Lattice parameters (Å, degrees): 4.1900 4.1900 18.5439 90.00 90.00 90.00
With the nearest neighbours (Å) after each atom.
Space group I4_1/amd (No. 141, origin choice 2)
Inequivalent atoms, fractional coordinates:
Y (0.0000, 0.2500, 0.3750) (multiplicity 4)  4 Pt 2.96, 8 Mn 3.30
Mn (0.0000, 0.0000, 0.0000) (multiplicity 8)  2 Mn 2.10
Pt (0.0000, 0.2500, 0.8750) (multiplicity 4)  4 Mn 2.54



Entry 4:
Compound: YMnZnPt2
Source: Alexandria
Functional: PBE
Structure: optimized geometry

The calculation puts the density of states at the Fermi level at 4.6 states/eV/cell. As for the formation energy: -14 meV/atom. Its total magnetization is 3.8 Bohr magnetons per cell. As for the calculated total energy: -29.06 eV/cell.

Lattice parameters (Å, degrees): 4.7516 4.7516 4.4729 90.00 90.00 90.00
With the nearest neighbours (Å) after each atom.
Space group P4/mmm (No. 123)
Inequivalent atoms, fractional coordinates:
Y (0.0000, 0.0000, 0.0000) (multiplicity 1)  8 Pt 3.26, 4 Mn 3.36
Mn (0.5000, 0.5000, 0.0000) (multiplicity 1)  2 Zn 2.24
Zn (0.5000, 0.5000, 0.5000) (multiplicity 1)  2 Mn 2.24, 4 Pt 2.38
Pt (0.0000, 0.5000, 0.5000) (multiplicity 2)  2 Zn 2.38



Entry 5:
Compound: Mn3ZnPt4
Source: Alexandria
Functional: PBE
Structure: optimized geometry

The calculation puts the density of states at the Fermi level at 2.3 states/eV/cell. As for the formation energy: -424 meV/atom. Its total magnetization is 13.2 Bohr magnetons per cell. As for the calculated total energy: -56.34 eV/cell.

Lattice parameters (Å, degrees): 3.5311 4.1249 8.2177 90.00 90.00 90.00
With the nearest neighbours (Å) after each atom.
Space group Pmmm (No. 47)
Inequivalent atoms, fractional coordinates:
Mn (0.0000, 0.0000, 0.0000) (multiplicity 1)  8 Pt 2.71, 4 Mn 2.93
Mn (0.0000, 0.5000, 0.2527) (multiplicity 2)  8 Pt 2.69-2.73, 2 Zn 2.90, 2 Mn 2.93
Zn (0.0000, 0.0000, 0.5000) (multiplicity 1)  8 Pt 2.71, 4 Mn 2.90
Pt (0.5000, 0.0000, 0.2501) (multiplicity 2)  2 Zn 2.71, 6 Mn 2.71-2.72, 4 Pt 2.91
Pt (0.5000, 0.5000, 0.0000) (multiplicity 1)  8 Mn 2.71-2.73, 4 Pt 2.91
Pt (0.5000, 0.5000, 0.5000) (multiplicity 1)  4 Mn 2.69, 4 Zn 2.71, 4 Pt 2.91



Entry 6:
Compound: MnZn4Pt5
Source: Alexandria
Functional: PBE
Structure: optimized geometry

The calculation puts the density of states at the Fermi level at 3.1 states/eV/cell. As for the formation energy: -532 meV/atom. Its total magnetization is 4.1 Bohr magnetons per cell. As for the calculated total energy: -49.79 eV/cell.

Lattice parameters (Å, degrees): 2.8861 2.8861 17.6205 90.00 90.00 90.00
With the nearest neighbours (Å) after each atom.
Space group P4/mmm (No. 123)
Inequivalent atoms, fractional coordinates:
Mn (0.0000, 0.0000, 0.0000) (multiplicity 1)  8 Pt 2.71, 4 Mn 2.89
Zn (0.0000, 0.0000, 0.2018) (multiplicity 2)  8 Pt 2.68-2.70, 4 Zn 2.89
Zn (0.0000, 0.0000, 0.4006) (multiplicity 2)  8 Pt 2.69, 4 Zn 2.89
Pt (0.5000, 0.5000, 0.1011) (multiplicity 2)  4 Zn 2.70, 4 Mn 2.71, 4 Pt 2.89
Pt (0.5000, 0.5000, 0.3009) (multiplicity 2)  8 Zn 2.68-2.69, 4 Pt 2.89
Pt (0.5000, 0.5000, 0.5000) (multiplicity 1)  8 Zn 2.69, 4 Pt 2.89



Entry 7:
Compound: Mn4ZnPt
Source: Alexandria
Functional: PBE
Structure: optimized geometry

The calculation puts the density of states at the Fermi level at 31.4 states/eV/cell. As for the formation energy: 131 meV/atom. Its total magnetization is 20.1 Bohr magnetons per cell. As for the calculated total energy: -172.83 eV/cell.

Lattice parameters (Å, degrees): 6.6977 6.6977 6.6977 90.00 90.00 90.00
With the nearest neighbours (Å) after each atom.
Space group F-43m (No. 216)
Inequivalent atoms, fractional coordinates:
Mn (0.1254, 0.1254, 0.1254) (multiplicity 16)  6 Mn 2.36-2.38
Zn (0.0000, 0.0000, 0.5000) (multiplicity 4)  12 Mn 2.78, 4 Pt 2.90
Pt (0.2500, 0.2500, 0.7500) (multiplicity 4)  12 Mn 2.78, 4 Zn 2.90



Entry 8:
Compound: MnZn2Pt9
Source: Alexandria
Functional: PBE
Structure: optimized geometry

The calculation puts the density of states at the Fermi level at 12.3 states/eV/cell. As for the formation energy: -344 meV/atom. Its total magnetization is 3.8 Bohr magnetons per cell. As for the calculated total energy: -70.22 eV/cell.

Lattice parameters (Å, degrees): 3.9332 3.9332 11.7599 90.00 90.00 90.00
With the nearest neighbours (Å) after each atom.
Space group P4/mmm (No. 123)
Inequivalent atoms, fractional coordinates:
Mn (0.0000, 0.0000, 0.0000) (multiplicity 1)  12 Pt 2.77-2.78
Zn (0.0000, 0.0000, 0.3346) (multiplicity 2)  12 Pt 2.77-2.79
Pt (0.0000, 0.5000, 0.1657) (multiplicity 4)  2 Mn 2.77, 8 Pt 2.77-2.78, 2 Zn 2.79
Pt (0.0000, 0.5000, 0.5000) (multiplicity 2)  4 Zn 2.77, 8 Pt 2.78
Pt (0.5000, 0.5000, 0.0000) (multiplicity 1)  8 Pt 2.77, 4 Mn 2.78
Pt (0.5000, 0.5000, 0.3327) (multiplicity 2)  8 Pt 2.78, 4 Zn 2.78